The following is a DFT calculation (PBE) of Pm12YHo3 after structural relaxation.

a b c (Å): 5.1262 5.1262 20.4487
angles (deg): 90.00 90.00 90.00
Atoms (fractional coordinates):
Pm 0.0000 0.5000 0.6249
Pm 0.5000 0.5000 0.7497
Pm 0.0000 0.5000 0.1256
Pm 0.5000 0.0000 0.1256
Pm 0.0000 0.5000 0.3751
Pm 0.0000 0.5000 0.8744
Pm 0.5000 0.0000 0.6249
Pm 0.5000 0.0000 0.8744
Pm 0.5000 0.5000 0.5000
Pm 0.5000 0.0000 0.3751
Pm 0.5000 0.5000 0.0000
Pm 0.5000 0.5000 0.2503
Ho 0.0000 0.0000 0.7498
Ho 0.0000 0.0000 0.5000
Ho 0.0000 0.0000 0.2502
Y 0.0000 0.0000 0.0000

Output
Space-group type: No. 123
Total energy (eV/atom): -4.811
Energy relative to the elements (kJ/mol of atoms): 1.4